No. 1
First-principles (PBE-GGA) data for a relaxed Nd4Sm15Sc crystal, as listed in the Alexandria database.

a b c (Å): 5.128 5.128 25.575
angles (deg): 90.00 90.00 90.00
Fractional coordinates of all 20 atoms:
Sm 0.500 0.500 0.000
Sm 0.500 0.500 0.399
Sm 0.500 0.500 0.196
Sm 0.500 0.500 0.601
Sm 0.000 0.500 0.298
Sm 0.500 0.000 0.500
Sm 0.500 0.500 0.804
Sm 0.000 0.500 0.702
Sm 0.500 0.000 0.095
Sm 0.000 0.500 0.500
Sm 0.500 0.000 0.905
Sm 0.000 0.500 0.905
Sm 0.500 0.000 0.298
Sm 0.000 0.500 0.095
Sm 0.500 0.000 0.702
Nd 0.000 0.000 0.197
Nd 0.000 0.000 0.399
Nd 0.000 0.000 0.601
Nd 0.000 0.000 0.803
Sc 0.000 0.000 0.000

Values from the calculation:
Theoretical density: 7.11 g cm⁻³
Symmetry: P4/mmm, No. 123
Energy: -4.79 eV/atom
Energy relative to the elements: 22 meV/atom

---

No. 2
First-principles (PBE-GGA) data for a relaxed Nb2VAg crystal, as listed in the Alexandria database.

a b c (Å): 4.588 4.588 4.588
angles (deg): 60.00 60.00 60.00
Fractional coordinates of all 4 atoms:
Nb 0.750 0.750 0.750
Nb 0.250 0.250 0.250
Ag 0.500 0.500 0.500
V 0.000 0.000 0.000

Values from the calculation:
Theoretical density: 8.38 g cm⁻³
Symmetry: Fm-3m, No. 225
Energy: -7.68 eV/atom
Distance to the lowest polymorph of the same formula: 162 meV/atom
Energy relative to the elements: 346 meV/atom

---

No. 3
First-principles (PBE-GGA) data for a relaxed CaYHg crystal, as listed in the Alexandria database.

a b c (Å): 7.006 7.006 3.758
angles (deg): 74.45 74.44 31.11
Fractional coordinates of all 3 atoms:
Ca 0.978 0.978 0.022
Hg 0.326 0.326 0.674
Y 0.697 0.697 0.303

Values from the calculation:
Theoretical density: 5.98 g cm⁻³
Symmetry: I4mm, No. 107
Energy: -3.24 eV/atom
Distance to the lowest polymorph of the same formula: 0 meV/atom
Energy relative to the elements: -315 meV/atom

---

No. 4
First-principles (PBE-GGA) data for a relaxed LaGaNF2 crystal, as listed in the Alexandria database.

a b c (Å): 4.768 4.768 4.381
angles (deg): 90.00 90.00 90.00
Fractional coordinates of all 5 atoms:
F 0.500 0.000 0.000
F 0.000 0.500 0.000
N 0.000 0.000 0.500
La 0.000 0.000 0.000
Ga 0.500 0.500 0.500

Values from the calculation:
Theoretical density: 4.35 g cm⁻³
Symmetry: P4/mmm, No. 123
Energy: -5.70 eV/atom
Distance to the lowest polymorph of the same formula: 49 meV/atom
E_form (uncorrected): -1.695 eV per atom

---

No. 5
First-principles (PBE-GGA) data for a relaxed NdMg2Au4 crystal, as listed in the Alexandria database.

a b c (Å): 5.604 5.762 5.762
angles (deg): 76.32 60.90 60.90
Fractional coordinates of all 7 atoms:
Au 0.301 0.397 0.000
Au 0.301 0.000 0.397
Au 0.699 0.603 0.000
Au 0.699 0.000 0.603
Nd 0.000 0.000 0.000
Mg 0.250 0.500 0.500
Mg 0.750 0.500 0.500

Values from the calculation:
Theoretical density: 11.47 g cm⁻³
Symmetry: I4/mmm, No. 139
Energy: -3.70 eV/atom
Energy relative to the elements: -689 meV/atom

---

No. 6
First-principles (PBE-GGA) data for a relaxed TlBH2Se crystal, as listed in the Alexandria database.

a b c (Å): 3.583 3.583 5.467
angles (deg): 90.00 90.00 90.00
Fractional coordinates of all 5 atoms:
Se 0.500 0.500 0.500
H 0.500 0.000 0.000
H 0.000 0.500 0.000
B 0.000 0.000 0.500
Tl 0.000 0.000 0.000

Values from the calculation:
Theoretical density: 7.01 g cm⁻³
Symmetry: P4/mmm, No. 123
Energy: -2.93 eV/atom

---

The highest energy belongs to which entry? TlBH2Se